Here is crystalline PaMn2O6 at its relaxed geometry from Alexandria via LeMat-Bulk. Energies are from GGA+U.

a b c (Å): 12.9857 4.0443 4.0413
angles (deg): 90.00 108.03 90.00
Closest atoms and distances in Å follow each position.
Space group C2/m (No. 12)
Symmetry-distinct sites (fractional):
1 Pa 0.0000 0.0000 0.0000 (multiplicity 2)  8 O 2.34-2.35
2 Mn 0.2501 0.0000 0.7501 (multiplicity 4)  6 O 1.90-2.03
3 O 0.0963 0.0000 0.5971 (multiplicity 4)  1 Mn 1.90
4 O 0.0962 0.5000 0.0971 (multiplicity 4)  1 Mn 1.90
5 O 0.2409 0.0000 0.2409 (multiplicity 4)  4 Mn 2.02-2.03

Computed properties:
**Final energy**: -8.17 eV/atom